Here is a relaxed structure of Cs3Pd2Pt4 from the Alexandria database. Energies are from GGA-PBE.

a = 12.886 Å, b = 4.588 Å, c = 9.310 Å
α = 90.00°, β = 111.88°, γ = 90.00°
Space group C2/m (No. 12)
One atom of each set of equivalent atoms:
Cs (0.000, 0.000, 0.000) x2
Cs (0.132, 0.500, 0.363) x4
Pd (0.156, 0.500, 0.774) x4
Pt (0.085, 0.000, 0.625) x4
Pt (0.231, 0.000, 0.918) x4

Values from the calculation:
total DFT energy (no corrections)	-75.2	eV for the cell shown
volume	28.4	Å³ per atom
crystal system	monoclinic
formation enthalpy at 0 K	-0.057	eV/atom


Here is a relaxed structure of Pr8In2Au from the Alexandria database. Energies are from GGA-PBE.

a = 5.566 Å, b = 7.326 Å, c = 17.171 Å
α = 90.00°, β = 90.00°, γ = 90.00°
Space group Immm (No. 71)
One atom of each set of equivalent atoms:
Pr (0.000, 0.000, 0.196) x4
Pr (0.000, 0.235, 0.365) x8
Pr (0.000, 0.255, 0.000) x4
In (0.000, 0.500, 0.185) x4
Au (0.000, 0.500, 0.500) x2

Values from the calculation:
total DFT energy (no corrections)	-99.8	eV for the cell shown
ΔE to the lowest computed polymorph	0.0341	eV/atom
volume	31.8	Å³ per atom
crystal system	orthorhombic
formation enthalpy at 0 K	-0.263	eV/atom


Here is a relaxed structure of CoAsBr2 from the Alexandria database. Energies are from GGA-PBE.

a = 9.647 Å, b = 9.647 Å, c = 4.472 Å
α = 90.00°, β = 90.00°, γ = 90.00°
Space group I-42d (No. 122)
One atom of each set of equivalent atoms:
Co (0.000, 0.000, 0.000) x4
As (0.000, 0.000, 0.500) x4
Br (0.071, 0.750, 0.125) x8

Values from the calculation:
total DFT energy (no corrections)	-58.9	eV for the cell shown
ΔE_f (raw)	97	meV per atom
ΔE to the lowest computed polymorph	0.1773	eV/atom
volume	26.0	Å³ per atom
crystal system	tetragonal


Here is a relaxed structure of MgZn2AsO6 from the Alexandria database. Energies are from GGA-PBE.

a = 9.515 Å, b = 8.984 Å, c = 5.290 Å
α = 90.00°, β = 97.56°, γ = 90.00°
Space group C2/c (No. 15)
One atom of each set of equivalent atoms:
Mg (0.000, 0.083, 0.250) x4
Zn (0.183, 0.405, 0.298) x8
As (0.000, 0.258, 0.750) x4
O (0.101, 0.247, 0.073) x8
O (0.109, 0.101, 0.631) x8
O (0.121, 0.400, 0.643) x8

Values from the calculation:
total DFT energy (no corrections)	-213.0	eV for the cell shown
ΔE_f (raw)	-1472	meV per atom
volume	11.2	Å³ per atom
crystal system	monoclinic


Here is a relaxed structure of CeHoCdHg from the Alexandria database. Energies are from GGA-PBE.

a = 7.554 Å, b = 7.554 Å, c = 7.554 Å
α = 90.00°, β = 90.00°, γ = 90.00°
Space group F-43m (No. 216)
One atom of each set of equivalent atoms:
Ce (0.000, 0.000, 0.000) x4
Ho (0.000, 0.000, 0.500) x4
Cd (0.250, 0.250, 0.250) x4
Hg (0.250, 0.250, 0.750) x4

Values from the calculation:
total DFT energy (no corrections)	-51.5	eV for the cell shown
volume	26.9	Å³ per atom
crystal system	cubic
formation enthalpy at 0 K	-0.284	eV/atom


Here is a relaxed structure of Ba2POs from the Alexandria database. Energies are from GGA-PBE.

a = 4.199 Å, b = 4.992 Å, c = 11.386 Å
α = 90.00°, β = 90.00°, γ = 90.00°
Space group Amm2 (No. 38)
One atom of each set of equivalent atoms:
Ba (0.000, 0.000, 0.000) x2
Ba (0.500, 0.000, 0.292) x2
P (0.500, 0.000, 0.599) x2
Os (0.000, 0.000, 0.684) x2

Values from the calculation:
total DFT energy (no corrections)	-43.1	eV for the cell shown
volume	29.8	Å³ per atom
crystal system	orthorhombic
formation enthalpy at 0 K	-0.261	eV/atom


Here is a relaxed structure of Cs2NpIr3O12 from the Alexandria database. Energies are from GGA-PBE.

a = 7.2755 Å, b = 7.2755 Å, c = 18.7481 Å
α = 90.00°, β = 90.00°, γ = 120.00°
Space group R-3m (No. 166, hexagonal axes)
One atom of each set of equivalent atoms:
Cs (0.0000, 0.0000, 0.1175) x6
Np (0.0000, 0.0000, 0.5000) x3
Ir (0.0000, 0.5000, 0.0000) x9
O (0.0682, 0.5341, 0.1040) x18
O (0.0742, 0.5371, 0.3495) x18

Values from the calculation:
total DFT energy (no corrections)	-378.2	eV for the cell shown
ΔE_f (raw)	-1408	meV per atom
volume	15.9	Å³ per atom
crystal system	trigonal


Here is a relaxed structure of TiGaTc2 from the Alexandria database. Energies are from GGA-PBE.

a = 2.748 Å, b = 4.377 Å, c = 10.947 Å
α = 90.00°, β = 90.00°, γ = 90.00°
Space group Immm (No. 71)
One atom of each set of equivalent atoms:
Ti (0.000, 0.000, 0.000) x2
Ga (0.000, 0.000, 0.500) x2
Tc (0.000, 0.000, 0.283) x4

Values from the calculation:
total DFT energy (no corrections)	-60.6	eV for the cell shown
volume	16.5	Å³ per atom
crystal system	orthorhombic
formation enthalpy at 0 K	0.343	eV/atom